# 1
Here is Y5MgTl6 after structural relaxation from Alexandria. Energies are from GGA-PBE.

Lattice parameters (Å, degrees): 9.305 16.051 5.271 90.00 124.43 90.00
Space group C2/m (No. 12)
Unique sites:
Y 0.000 0.000 0.000 [2 per cell]
Y 0.000 0.171 0.500 [4 per cell]
Y 0.000 0.344 0.000 [4 per cell]
Mg 0.000 0.500 0.500 [2 per cell]
Tl 0.246 0.000 0.746 [4 per cell]
Tl 0.250 0.165 0.249 [8 per cell]

M_tot: 0.000 μB per atom
density of states at the Fermi level: 17.3 states/eV/cell
total DFT energy (no corrections): -4.335 eV/atom

# 2
Here is AcLaZn after structural relaxation from Alexandria. Energies are from GGA-PBE.

Lattice parameters (Å, degrees): 5.2515 5.2515 3.9791 90.00 90.00 120.00
Space group P3m1 (No. 156)
Unique sites:
Ac 0.0000 0.0000 0.0000 [1 per cell]
La 0.6667 0.3333 0.5779 [1 per cell]
Zn 0.3333 0.6667 0.3372 [1 per cell]

M_tot: 0.000 μB per atom
density of states at the Fermi level: 3.9 states/eV/cell
total DFT energy (no corrections): -3.478 eV/atom

# 3
Here is Y2FeSb2 after structural relaxation from Alexandria. Energies are from GGA-PBE.

Lattice parameters (Å, degrees): 6.859 6.859 4.870 90.00 90.00 90.00
Space group P4/mbm (No. 127)
Unique sites:
Y 0.171 0.329 0.000 [4 per cell]
Fe 0.000 0.000 0.500 [2 per cell]
Sb 0.152 0.652 0.500 [4 per cell]

M_tot: 0.004 μB per atom
density of states at the Fermi level: 1.9 states/eV/cell
total DFT energy (no corrections): -6.391 eV/atom
ΔE_f (raw): -44.7 kJ per mole of atoms

# 4
Here is MgMnNi2Sb2 after structural relaxation from Alexandria. Energies are from GGA-PBE.

Lattice parameters (Å, degrees): 4.3352 4.3352 21.5960 90.00 90.00 120.00
Space group R3m (No. 160, hexagonal axes)
Unique sites:
Mg 0.0000 0.0000 0.0000 [3 per cell]
Mn 0.0000 0.0000 0.4937 [3 per cell]
Ni 0.0000 0.0000 0.2458 [3 per cell]
Ni 0.0000 0.0000 0.7525 [3 per cell]
Sb 0.0000 0.0000 0.1261 [3 per cell]
Sb 0.0000 0.0000 0.6146 [3 per cell]

M_tot: 0.592 μB per atom
density of states at the Fermi level: 9.3 states/eV/cell
total DFT energy (no corrections): -5.037 eV/atom
ΔE_f (raw): 5.6 kJ per mole of atoms

# 5
Here is Li2Ni2Ge3 after structural relaxation from Alexandria. Energies are from GGA-PBE.

Lattice parameters (Å, degrees): 9.367 3.859 6.582 90.00 116.76 90.00
Space group C2/m (No. 12)
Unique sites:
Li 0.162 0.000 0.297 [4 per cell]
Ni 0.116 0.000 0.712 [4 per cell]
Ge 0.000 0.500 0.500 [2 per cell]
Ge 0.129 0.500 0.962 [4 per cell]

M_tot: 0.000 μB per atom
density of states at the Fermi level: 4.1 states/eV/cell
total DFT energy (no corrections): -4.485 eV/atom

# 6
Here is ReSe3O9 after structural relaxation from Alexandria. Energies are from GGA-PBE.

Lattice parameters (Å, degrees): 15.761 6.355 12.078 90.00 115.08 90.00
Space group Cc (No. 9)
Unique sites:
Re 0.000 0.212 0.000 [4 per cell]
Se 0.157 0.366 0.801 [4 per cell]
Se 0.324 0.187 0.733 [4 per cell]
Se 0.387 0.391 0.122 [4 per cell]
O 0.045 0.386 0.701 [4 per cell]
O 0.113 0.308 0.049 [4 per cell]
O 0.203 0.188 0.718 [4 per cell]
O 0.302 0.421 0.624 [4 per cell]
O 0.314 0.007 0.140 [4 per cell]
O 0.341 0.336 0.976 [4 per cell]
O 0.421 0.088 0.428 [4 per cell]
O 0.480 0.395 0.630 [4 per cell]
O 0.483 0.482 0.391 [4 per cell]

M_tot: 0.077 μB per atom
total DFT energy (no corrections): -6.081 eV/atom
ΔE_f (raw): -85.5 kJ per mole of atoms

# 7
Here is NaCd3Ni after structural relaxation from Alexandria. Energies are from GGA-PBE.

Lattice parameters (Å, degrees): 5.021 5.021 5.021 90.00 90.00 90.00
Space group Pm-3m (No. 221)
Unique sites:
Na 0.000 0.000 0.000 [1 per cell]
Cd 0.000 0.500 0.500 [3 per cell]
Ni 0.500 0.500 0.500 [1 per cell]

M_tot: 0.000 μB per atom
density of states at the Fermi level: 2.5 states/eV/cell
total DFT energy (no corrections): -1.942 eV/atom

# 8
Here is BPt2Br after structural relaxation from Alexandria. Energies are from GGA-PBE.

Lattice parameters (Å, degrees): 5.156 5.156 11.410 90.00 90.00 90.00
Space group I-42d (No. 122)
Unique sites:
B 0.000 0.000 0.000 [4 per cell]
Pt 0.146 0.250 0.125 [8 per cell]
Br 0.000 0.000 0.500 [4 per cell]

M_tot: 0.000 μB per atom
density of states at the Fermi level: 2.7 states/eV/cell
total DFT energy (no corrections): -4.856 eV/atom
ΔE_f (raw): 24.3 kJ per mole of atoms

# 9
Here is InGaCoNi2 after structural relaxation from Alexandria. Energies are from GGA-PBE.

Lattice parameters (Å, degrees): 4.670 4.670 4.947 90.00 90.00 90.00
Space group P4/mmm (No. 123)
Unique sites:
In 0.000 0.000 0.000 [1 per cell]
Ga 0.000 0.000 0.500 [1 per cell]
Co 0.500 0.500 0.500 [1 per cell]
Ni 0.000 0.500 0.000 [2 per cell]

M_tot: 0.446 μB per atom
density of states at the Fermi level: 11.2 states/eV/cell
total DFT energy (no corrections): -3.415 eV/atom

# 10
Here is Rb2MoAuI after structural relaxation from Alexandria. Energies are from GGA-PBE.

Lattice parameters (Å, degrees): 7.058 7.058 5.402 90.00 90.00 90.00
Space group P4/mmm (No. 123)
Unique sites:
Rb 0.000 0.500 0.000 [2 per cell]
Mo 0.000 0.000 0.000 [1 per cell]
Au 0.500 0.500 0.500 [1 per cell]
I 0.000 0.000 0.500 [1 per cell]

M_tot: 0.810 μB per atom
density of states at the Fermi level: 0.6 states/eV/cell
total DFT energy (no corrections): -2.924 eV/atom
ΔE_f (raw): 57.4 kJ per mole of atoms

# 11
Here is TbNdDy2Er4 after structural relaxation from Alexandria. Energies are from GGA-PBE.

Lattice parameters (Å, degrees): 6.773 11.718 13.236 90.00 90.00 90.00
Space group Imma (No. 74)
Unique sites:
Tb 0.250 0.250 0.250 [4 per cell]
Nd 0.000 0.000 0.000 [4 per cell]
Dy 0.000 0.000 0.500 [4 per cell]
Dy 0.250 0.250 0.750 [4 per cell]
Er 0.000 0.001 0.749 [8 per cell]
Er 0.249 0.250 0.500 [8 per cell]

M_tot: 0.409 μB per atom
density of states at the Fermi level: 68.2 states/eV/cell
total DFT energy (no corrections): -4.167 eV/atom

# 12
Here is TiRe5 after structural relaxation from Alexandria. Energies are from GGA-PBE.

Lattice parameters (Å, degrees): 4.389 13.368 3.072 90.00 90.00 90.00
Space group Cmmm (No. 65)
Unique sites:
Ti 0.000 0.000 0.000 [2 per cell]
Re 0.000 0.159 0.500 [4 per cell]
Re 0.000 0.327 0.000 [4 per cell]
Re 0.000 0.500 0.500 [2 per cell]

M_tot: 0.000 μB per atom
density of states at the Fermi level: 8.7 states/eV/cell
total DFT energy (no corrections): -11.745 eV/atom

# 13
Here is MnCdBr2 after structural relaxation from Alexandria. Energies are from GGA-PBE.

Lattice parameters (Å, degrees): 7.414 7.414 7.414 90.00 90.00 90.00
Space group F-43m (No. 216)
Unique sites:
Mn 0.000 0.000 0.000 [4 per cell]
Cd 0.250 0.250 0.750 [4 per cell]
Br 0.000 0.000 0.500 [4 per cell]
Br 0.250 0.250 0.250 [4 per cell]

M_tot: 1.256 μB per atom
density of states at the Fermi level: 4.7 states/eV/cell
total DFT energy (no corrections): -3.085 eV/atom
ΔE_f (raw): 26.3 kJ per mole of atoms

# 14
Here is CeThCoOs after structural relaxation from Alexandria. Energies are from GGA-PBE.

Lattice parameters (Å, degrees): 6.948 6.948 6.948 90.00 90.00 90.00
Space group F-43m (No. 216)
Unique sites:
Ce 0.000 0.000 0.000 [4 per cell]
Th 0.000 0.000 0.500 [4 per cell]
Co 0.250 0.250 0.250 [4 per cell]
Os 0.250 0.250 0.750 [4 per cell]

M_tot: 0.029 μB per atom
density of states at the Fermi level: 19.5 states/eV/cell
total DFT energy (no corrections): -8.038 eV/atom

# 15
Here is Ho2PuSc6 after structural relaxation from Alexandria. Energies are from GGA-PBE.

Lattice parameters (Å, degrees): 9.1383 9.1383 3.2030 90.00 90.00 120.00
Space group P6/mmm (No. 191)
Unique sites:
Ho 0.3333 0.6667 0.0000 [2 per cell]
Pu 0.0000 0.0000 0.0000 [1 per cell]
Sc 0.0000 0.3313 0.5000 [6 per cell]

M_tot: 0.573 μB per atom
density of states at the Fermi level: 16.4 states/eV/cell
total DFT energy (no corrections): -6.760 eV/atom

# 16
Here is MoRhSe2 after structural relaxation from Alexandria. Energies are from GGA-PBE.

Lattice parameters (Å, degrees): 9.662 3.190 4.386 90.00 101.75 90.00
Space group Cm (No. 8)
Unique sites:
Mo 0.000 0.000 0.000 [2 per cell]
Rh 0.264 0.500 0.346 [2 per cell]
Se 0.025 0.500 0.449 [2 per cell]
Se 0.280 0.000 0.869 [2 per cell]

M_tot: 0.000 μB per atom
density of states at the Fermi level: 7.9 states/eV/cell
total DFT energy (no corrections): -6.313 eV/atom
ΔE_f (raw): -2.4 kJ per mole of atoms

# 17
Here is CuPb2 after structural relaxation from Alexandria. Energies are from GGA-PBE.

Lattice parameters (Å, degrees): 5.0235 5.0235 6.9374 90.00 90.00 120.00
Space group P6_3/mmc (No. 194)
Unique sites:
Cu 0.3333 0.6667 0.2500 [2 per cell]
Pb 0.0000 0.0000 0.0000 [2 per cell]
Pb 0.3333 0.6667 0.7500 [2 per cell]

M_tot: 0.000 μB per atom
density of states at the Fermi level: 1.5 states/eV/cell
total DFT energy (no corrections): -3.573 eV/atom

# 18
Here is CsGaNi3 after structural relaxation from Alexandria. Energies are from GGA-PBE.

Lattice parameters (Å, degrees): 4.665 4.665 4.665 90.00 90.00 90.00
Space group Pm-3m (No. 221)
Unique sites:
Cs 0.000 0.000 0.000 [1 per cell]
Ga 0.500 0.500 0.500 [1 per cell]
Ni 0.000 0.500 0.500 [3 per cell]

M_tot: 0.000 μB per atom
density of states at the Fermi level: 6.8 states/eV/cell
total DFT energy (no corrections): -3.520 eV/atom